# GGA-PBE Nd2Zr2C3, relaxed
data_Nd2Zr2C3
_cell_length_a 6.520
_cell_length_b 6.520
_cell_length_c 6.026
_cell_angle_alpha 109.57
_cell_angle_beta 109.57
_cell_angle_gamma 32.69
_space_group_name_H-M_alt 'P 1'
_space_group_IT_number 1
_space_group_name_Hall 'P 1'
loop_
_atom_site_label
_atom_site_type_symbol
_atom_site_fract_x
_atom_site_fract_y
_atom_site_fract_z
C1 C 0.000 0.000 0.000
C2 C 0.270 0.270 0.230
C3 C 0.730 0.730 0.770
Nd1 Nd 0.616 0.616 0.302
Nd2 Nd 0.384 0.384 0.698
Zr1 Zr 0.855 0.855 0.149
Zr2 Zr 0.145 0.145 0.851
# Final energy: -8.072 eV per atom
# Magnetic moment: 0.028 μB per formula unit
# SG: No. 12